DFT (PBEsol) results for Sr3GaS after structural relaxation.

Geometry as CIF:
```
data_Sr3GaS
_chemical_formula_sum 'Sr3 Ga1 S1'
_space_group_name_H-M_alt 'P 1'
_space_group_IT_number 1
_cell_length_a 5.826
_cell_length_b 5.826
_cell_length_c 5.826
_cell_angle_alpha 90.00
_cell_angle_beta 90.00
_cell_angle_gamma 90.00
loop_
_space_group_symop_operation_xyz
'x,y,z'
loop_
_atom_site_label
_atom_site_type_symbol
_atom_site_fract_x
_atom_site_fract_y
_atom_site_fract_z
_atom_site_occupancy
Sr1 Sr 0.000 0.000 0.500 1
Sr2 Sr 0.000 0.500 0.000 1
Sr3 Sr 0.500 0.000 0.000 1
Ga1 Ga 0.000 0.000 0.000 1
S1 S 0.500 0.500 0.500 1
```

Summary:
Formation energy without anion corrections: -264.4 meV per atom
Calculated total energy: -14.57 eV for the cell shown
Density: 3.06 g/cm³